# 1
First-principles (PBE) data for Tm3BiN after structural relaxation, as listed in the Alexandria database.

## Properties
Formation energy (no corrections) = -89.14 kJ/mol of atoms

Cell: 7.854 3.667 8.689 Å, 90.00 110.23 90.00°
Fractional coordinates of all 10 atoms:
Tm1 0.027 0.250 0.357
Tm2 0.298 0.250 0.927
Tm3 0.373 0.750 0.630
Tm4 0.627 0.250 0.370
Tm5 0.702 0.750 0.073
Tm6 0.973 0.750 0.643
Bi1 0.272 0.750 0.229
Bi2 0.728 0.250 0.771
N1 0.178 0.250 0.638
N2 0.822 0.750 0.362

# 2
First-principles (PBE) data for CoPd3Cl after structural relaxation, as listed in the Alexandria database.

## Properties
Formation energy (no corrections) = 75.00 kJ/mol of atoms
E above lowest polymorph = 0.000 eV/atom

Cell: 4.498 4.498 4.498 Å, 90.00 90.00 90.00°
Fractional coordinates of all 5 atoms:
Co1 0.000 0.000 0.000
Pd1 0.000 0.500 0.500
Pd2 0.500 0.000 0.500
Pd3 0.500 0.500 0.000
Cl1 0.500 0.500 0.500

# 3
First-principles (PBE) data for RbUCuO4 after structural relaxation, as listed in the Alexandria database.

## Properties
Formation energy (no corrections) = -203.03 kJ/mol of atoms

Cell: 7.359 7.359 7.359 Å, 129.92 123.69 78.67°
Fractional coordinates of all 14 atoms:
Rb1 0.431 0.181 0.250
Rb2 0.569 0.819 0.750
U1 0.000 0.500 0.500
U2 0.500 0.500 0.000
Cu1 0.000 0.000 0.500
Cu2 0.000 0.500 0.000
O1 0.117 0.675 0.442
O2 0.267 0.325 0.942
O3 0.268 0.316 0.548
O4 0.268 0.721 0.952
O5 0.732 0.279 0.048
O6 0.732 0.684 0.452
O7 0.733 0.675 0.058
O8 0.883 0.325 0.558

# 4
First-principles (PBE) data for Tb2PmPuBi4 after structural relaxation, as listed in the Alexandria database.

## Properties
Energy of formation = -0.751 eV per atom

Cell: 7.838 4.530 7.842 Å, 90.00 109.43 90.00°
Fractional coordinates of all 8 atoms:
Tb1 0.000 0.000 0.000
Tb2 0.000 0.500 0.500
Pm1 0.500 0.000 0.500
Pu1 0.500 0.500 0.000
Bi1 0.246 0.500 0.247
Bi2 0.247 0.000 0.751
Bi3 0.753 0.000 0.249
Bi4 0.754 0.500 0.753

no.,total magnetic moment (μB per formula unit)
1,0.000
2,2.027
3,0.000
4,5.145